--- 1 ---
# NbSi3P (PBE-GGA, optimized geometry)
data_NbSi3P
_symmetry_space_group_name_H-M 'P m -3 m'
_symmetry_Int_Tables_number 221
_symmetry_space_group_name_Hall '-P 4 2 3'
_cell_length_a 4.446
_cell_length_b 4.446
_cell_length_c 4.446
_cell_angle_alpha 90.00
_cell_angle_beta 90.00
_cell_angle_gamma 90.00
loop_
_atom_site_label
_atom_site_type_symbol
_atom_site_fract_x
_atom_site_fract_y
_atom_site_fract_z
Nb1 Nb 0.000 0.000 0.000
Si1 Si 0.000 0.500 0.500
P1 P 0.500 0.500 0.500
# V, Å³/cell: 87.89
# M_tot, μB per cell: 0.0
# Crystal system: cubic



--- 2 ---
# NbSi3P (PBE-GGA, optimized geometry)
data_NbSi3P
_symmetry_space_group_name_H-M 'P m -3 m'
_symmetry_Int_Tables_number 221
_symmetry_space_group_name_Hall '-P 4 2 3'
_cell_length_a 4.870
_cell_length_b 4.870
_cell_length_c 4.870
_cell_angle_alpha 90.00
_cell_angle_beta 90.00
_cell_angle_gamma 90.00
loop_
_atom_site_label
_atom_site_type_symbol
_atom_site_fract_x
_atom_site_fract_y
_atom_site_fract_z
Nb1 Nb 0.000 0.000 0.000
Si1 Si 0.000 0.000 0.500
P1 P 0.500 0.500 0.500
# V, Å³/cell: 115.48
# M_tot, μB per cell: 0.0
# Crystal system: cubic



Which one is the most stable? From the structures above, 1.